# 1
Ac8IrRh4 after structural relaxation. Source: the Alexandria database, functional PBE.

Values from the calculation:
DFT total energy in eV/atom: -6.079
SG: C2/m, No. 12
ΔE_f in meV per atom: -607

a b c (Å): 8.191 8.191 10.209
angles (deg): 125.08 125.08 63.87
Sites, in units of the cell vectors:
Ac1 0.028 0.028 0.323
Ac2 0.032 0.545 0.836
Ac3 0.455 0.968 0.164
Ac4 0.468 0.468 0.666
Ac5 0.532 0.532 0.334
Ac6 0.545 0.032 0.836
Ac7 0.968 0.455 0.164
Ac8 0.972 0.972 0.677
Ir1 0.000 0.000 0.000
Rh1 0.251 0.749 0.500
Rh2 0.257 0.257 0.003
Rh3 0.743 0.743 0.997
Rh4 0.749 0.251 0.500

# 2
SrTiSiCl2 after structural relaxation. Source: the Alexandria database, functional PBE.

Values from the calculation:
DFT total energy in eV/atom: -4.034
SG: P4/mmm, No. 123

a b c (Å): 4.688 4.688 8.097
angles (deg): 90.00 90.00 90.00
Sites, in units of the cell vectors:
Sr1 0.000 0.000 0.000
Ti1 0.000 0.000 0.500
Si1 0.500 0.500 0.000
Cl1 0.000 0.500 0.500
Cl2 0.500 0.000 0.500